{"formula": "CsLiRhCl2", "functional": "PBE", "state": "relaxed", "e_form_raw_ev_per_fu": -3.65, "energy_ev_per_atom": -3.492, "total_magnetization_mub_per_atom": 0.000, "cell": [[-3.136, -3.016, -2.675], [3.724, -1.791, -2.345], [0.480, -3.645, 3.546]], "species": ["Cs", "Li", "Rh", "Cl", "Cl"], "fractional_positions": [[0.500, 0.500, 0.500], [0.000, 0.500, 0.000], [0.000, 0.000, 0.000], [0.000, 0.000, 0.500], [0.500, 0.000, 0.000]]}